No. 1
A plane-wave DFT calculation with PBE was carried out for a relaxed structure of PrTh.

The structure in POSCAR format:
```
PrTh
1.0
3.476 -0.927 0.000
-1.832 7.090 0.000
0.000 0.000 5.987
Th Pr
2 2
Direct
0.669 0.919 0.750 Th
0.331 0.081 0.250 Th
0.650 0.401 0.750 Pr
0.350 0.599 0.250 Pr
```

Output
**Space group**: Pmmn (59)
**Energy of formation**: 82 meV per atom

---

No. 2
A plane-wave DFT calculation with PBE was carried out for a relaxed structure of K3Ti5F12.

The structure in POSCAR format:
```
K3Ti5F12
1.0
12.086 0.000 0.000
-4.029 11.395 0.000
-4.029 -5.697 9.868
Ti F K
20 48 12
Direct
0.750 0.625 0.375 Ti
0.875 0.625 0.750 Ti
0.625 0.875 0.250 Ti
0.375 0.250 0.125 Ti
0.625 0.750 0.875 Ti
0.375 0.125 0.750 Ti
0.000 0.000 0.500 Ti
0.125 0.375 0.250 Ti
0.500 0.000 0.000 Ti
0.000 0.000 0.000 Ti
0.500 0.500 0.000 Ti
0.250 0.375 0.625 Ti
0.000 0.500 0.500 Ti
0.000 0.500 0.000 Ti
0.500 0.500 0.500 Ti
0.750 0.125 0.875 Ti
0.125 0.750 0.375 Ti
0.250 0.875 0.125 Ti
0.875 0.250 0.625 Ti
0.500 0.000 0.500 Ti
0.125 0.442 0.113 F
0.317 0.875 0.988 F
0.488 0.817 0.875 F
0.942 0.829 0.817 F
0.375 0.387 0.058 F
0.988 0.375 0.317 F
0.488 0.671 0.113 F
0.829 0.887 0.012 F
0.613 0.625 0.442 F
0.387 0.012 0.329 F
0.875 0.558 0.887 F
0.171 0.113 0.988 F
0.512 0.183 0.125 F
0.558 0.875 0.387 F
0.817 0.329 0.942 F
0.183 0.671 0.058 F
0.671 0.488 0.613 F
0.058 0.171 0.183 F
0.625 0.613 0.942 F
0.887 0.829 0.512 F
0.942 0.113 0.625 F
0.012 0.625 0.683 F
0.387 0.375 0.558 F
0.875 0.317 0.488 F
0.113 0.171 0.488 F
0.625 0.012 0.183 F
0.512 0.329 0.887 F
0.183 0.512 0.625 F
0.683 0.125 0.012 F
0.613 0.988 0.671 F
0.317 0.442 0.829 F
0.012 0.387 0.829 F
0.171 0.058 0.683 F
0.329 0.817 0.442 F
0.887 0.058 0.875 F
0.058 0.887 0.375 F
0.442 0.317 0.329 F
0.817 0.488 0.375 F
0.558 0.683 0.671 F
0.671 0.183 0.558 F
0.329 0.512 0.387 F
0.829 0.942 0.317 F
0.113 0.942 0.125 F
0.375 0.988 0.817 F
0.988 0.613 0.171 F
0.125 0.683 0.512 F
0.683 0.558 0.171 F
0.442 0.125 0.613 F
0.250 0.125 0.375 K
0.875 0.750 0.125 K
0.250 0.625 0.875 K
0.375 0.750 0.625 K
0.375 0.625 0.250 K
0.625 0.250 0.375 K
0.625 0.375 0.750 K
0.750 0.875 0.625 K
0.125 0.875 0.750 K
0.875 0.125 0.250 K
0.125 0.250 0.875 K
0.750 0.375 0.125 K
```

Output
**Raw formation energy**: -2.52 eV/atom
**Space group**: Ia-3d (230)

---

No. 3
A plane-wave DFT calculation with PBE was carried out for a relaxed structure of CrSnSe2.

The structure in POSCAR format:
```
CrSnSe2
1.0
-1.582 -3.191 -0.043
2.249 0.908 -2.609
6.541 -3.302 4.491
Cr Se Sn
1 2 1
Direct
0.000 0.000 0.988 Cr
0.667 0.333 0.155 Se
0.333 0.667 0.821 Se
0.333 0.667 0.492 Sn
```

Output
**Raw formation energy**: -0.37 eV/atom
**Space group**: P3m1 (156)

---

No. 4
A plane-wave DFT calculation with PBE was carried out for a relaxed structure of SrBi2P2Pt7.

The structure in POSCAR format:
```
SrBi2P2Pt7
1.0
4.048 -0.002 -0.011
0.003 4.048 -0.011
2.062 2.059 14.974
Pt Bi P Sr
7 2 2 1
Direct
0.077 0.577 0.845 Pt
0.423 0.923 0.155 Pt
0.923 0.423 0.155 Pt
0.577 0.077 0.845 Pt
0.305 0.305 0.389 Pt
0.695 0.695 0.611 Pt
0.500 0.500 0.000 Pt
0.789 0.789 0.421 Bi
0.211 0.211 0.579 Bi
0.383 0.383 0.236 P
0.617 0.617 0.764 P
0.000 0.000 0.000 Sr
```

Output
**Space group**: C2/m (12)
**Energy of formation**: -459 meV per atom

---

No. 5
A plane-wave DFT calculation with PBE was carried out for a relaxed structure of Sr2SmO3.

The structure in POSCAR format:
```
Sr2SmO3
1.0
-4.146 -2.575 1.469
-0.120 -3.422 -6.336
5.268 -1.780 2.904
Sr O Sm
4 6 2
Direct
0.668 0.584 0.336 Sr
0.332 0.916 0.664 Sr
0.668 0.084 0.336 Sr
0.332 0.416 0.664 Sr
0.847 0.923 0.695 O
0.500 0.750 0.000 O
0.153 0.577 0.305 O
0.847 0.423 0.695 O
0.500 0.250 0.000 O
0.153 0.077 0.305 O
0.000 0.750 0.000 Sm
0.000 0.250 0.000 Sm
```

Output
**Raw formation energy**: -2.71 eV/atom
**Space group**: Immm (71)

---

No. 6
A plane-wave DFT calculation with PBE was carried out for a relaxed structure of NdSm3Te3.

The structure in POSCAR format:
```
NdSm3Te3
1.0
9.221 0.000 0.000
4.610 7.986 0.000
4.610 2.662 6.054
Sm Te Nd
6 6 2
Direct
0.080 0.837 0.743 Sm
0.660 0.920 0.257 Sm
0.837 0.340 0.743 Sm
0.163 0.660 0.257 Sm
0.340 0.080 0.743 Sm
0.920 0.163 0.257 Sm
0.098 0.460 0.757 Te
0.685 0.098 0.757 Te
0.460 0.685 0.757 Te
0.540 0.315 0.243 Te
0.902 0.540 0.243 Te
0.315 0.902 0.243 Te
0.684 0.684 0.947 Nd
0.316 0.316 0.053 Nd
```

Output
**Raw formation energy**: -1.11 eV/atom
**Space group**: R-3 (148)